First-principles (PBE+U) data for a relaxed structure of Li2WF2, as listed in Alexandria via LeMat-Bulk.

Results
The total magnetization is 5.19 μB/cell. The energy relative to the lowest polymorph listed for this composition comes out at 258 kJ/mol of formula units.

Lattice parameters (Å, degrees): 7.6384 7.6384 2.6108 90.00 90.00 90.00
Closest atoms and distances in Å follow each position.
Fractional coordinates of all 10 atoms:
F 0.3896 0.1104 0.5000  4 Li 2.05
F 0.6104 0.8896 0.5000  4 Li 2.05
F 0.1104 0.6104 0.5000  4 Li 2.05
F 0.8896 0.3896 0.5000  4 Li 2.05
Li 0.0957 0.4043 0.0000  4 F 2.05, 1 Li 2.07
Li 0.4043 0.9043 0.0000  4 F 2.05, 1 Li 2.07
Li 0.5957 0.0957 0.0000  4 F 2.05, 1 Li 2.07
Li 0.9043 0.5957 0.0000  4 F 2.05, 1 Li 2.07
W 0.0000 0.0000 0.0000  2 W 2.61
W 0.5000 0.5000 0.0000  2 W 2.61